Entry 1:
DFT (PBE) results for a geometry-optimized Ho4ZnCu2Ru structure.

```
Ho4ZnCu2Ru
1.0
-3.014 -2.619 2.851
1.841 -3.246 3.186
-0.044 3.718 7.591
Ho Zn Cu Ru
4 1 2 1
Cartesian
-0.484 0.973 8.827
-1.039 -3.668 8.198
-0.179 1.520 5.430
-0.734 -3.121 4.801
0.000 0.000 0.000
-0.910 -1.548 10.284
-0.308 -0.600 3.345
-0.609 -1.074 6.814
```

Summary:
Calculated formation energy (eV/atom): -0.344
E_tot (eV per atom): -4.98

---

Entry 2:
DFT (PBE) results for a geometry-optimized Ho2Zn5CuRu2 structure.

```
Ho2Zn5CuRu2
1.0
-2.265 2.420 -1.020
-4.468 -0.439 8.877
6.065 7.113 3.405
Ho Zn Cu Ru
4 10 2 4
Cartesian
-1.950 0.970 6.628
3.546 5.704 5.654
1.155 2.210 2.678
0.442 4.463 9.604
-1.648 1.506 1.336
0.980 7.587 9.926
3.557 6.965 2.728
-1.495 4.086 7.115
-4.225 2.128 8.534
0.827 5.007 4.147
0.566 5.857 6.742
-1.234 3.236 4.520
-3.367 0.990 3.929
1.900 4.766 1.192
0.000 0.000 0.000
0.798 3.337 6.141
3.243 4.436 3.321
-1.646 2.238 8.961
2.443 5.898 8.565
-0.846 0.776 3.718
```

Summary:
Calculated formation energy (eV/atom): -0.167
E_tot (eV per atom): -3.98

---

Entry 3:
DFT (PBE) results for a geometry-optimized Ho4ZnCuRu2 structure.

```
Ho4ZnCuRu2
1.0
4.862 0.000 0.000
2.431 4.211 0.000
2.431 1.404 7.949
Ho Zn Cu Ru
4 1 1 2
Cartesian
4.862 2.807 6.913
7.293 4.211 3.013
2.431 1.404 4.935
4.862 2.807 1.036
0.000 0.000 0.000
4.862 2.807 3.974
7.293 4.211 5.979
2.431 1.404 1.970
```

Summary:
Calculated formation energy (eV/atom): -0.367
E_tot (eV per atom): -5.65

---

Entry 4:
DFT (PBE) results for a geometry-optimized Ho2CuS structure.

```
Ho2CuS
1.0
-0.115 -2.886 -2.638
3.149 -1.601 1.614
-8.110 -5.175 6.015
Ho Cu S
4 2 2
Cartesian
-0.939 -5.184 1.362
-4.138 -4.478 3.630
-4.134 -8.105 4.697
-0.942 -1.557 0.294
-6.066 -6.241 5.642
0.989 -3.421 -0.651
-2.550 -3.026 1.972
-2.527 -6.636 3.020
```

Summary:
E_form (uncorrected) (eV per atom): -1.14
E_tot (eV per atom): -5.49
Energy above the most stable polymorph in this dataset (meV per atom): 0.0

---

Copy entry 2 word for word.
DFT (PBE) results for a geometry-optimized Ho2Zn5CuRu2 structure.

```
Ho2Zn5CuRu2
1.0
-2.265 2.420 -1.020
-4.468 -0.439 8.877
6.065 7.113 3.405
Ho Zn Cu Ru
4 10 2 4
Cartesian
-1.950 0.970 6.628
3.546 5.704 5.654
1.155 2.210 2.678
0.442 4.463 9.604
-1.648 1.506 1.336
0.980 7.587 9.926
3.557 6.965 2.728
-1.495 4.086 7.115
-4.225 2.128 8.534
0.827 5.007 4.147
0.566 5.857 6.742
-1.234 3.236 4.520
-3.367 0.990 3.929
1.900 4.766 1.192
0.000 0.000 0.000
0.798 3.337 6.141
3.243 4.436 3.321
-1.646 2.238 8.961
2.443 5.898 8.565
-0.846 0.776 3.718
```

Summary:
Calculated formation energy (eV/atom): -0.167
E_tot (eV per atom): -3.98

---

- What is the E_tot in the first record?
  -4.98 eV per atom

---

- What is the E_tot in the fourth record?
  -5.49 eV per atom